Computed, not measured: a relaxed HgOs2Pb crystal at the PBE level of DFT.

electronic total energy: -5.57 eV/atom
D(E_F): 6.54 states/eV per cell
energy of formation: 1.043 eV/atom

Cell lengths 9.519, 3.044, 5.591 Å; angles 90.00, 107.64, 90.00 degrees
Space group C2/m (No. 12)
One atom of each set of equivalent atoms:
1 Hg 0.000 0.000 0.000 (multiplicity 2)
2 Os 0.239 0.000 0.799 (multiplicity 4)
3 Pb 0.000 0.500 0.500 (multiplicity 2)